First-principles (PBE) data for crystalline Ac5Pm2Sm at its relaxed geometry, as listed in Alexandria via LeMat-Bulk. Values from VASP.

Cell and atoms, written as Quantum ESPRESSO input:
```
&SYSTEM
  ibrav = 0, nat = 16, ntyp = 3
/
ATOMIC_SPECIES
Ac 227.00 Ac.upf
Sm 150.36 Sm.upf
Pm 145.00 Pm.upf
CELL_PARAMETERS angstrom
5.5219 0.0000 0.0000
0.0000 7.6729 0.0000
0.0000 0.0000 15.3517
ATOMIC_POSITIONS angstrom
Ac 2.7609 5.8222 9.5413
Sm 0.0000 3.8365 0.0000
Ac 2.7609 1.8507 5.8104
Ac 0.0000 0.0765 11.4592
Pm 2.7609 5.8012 13.4494
Pm 2.7609 5.7082 5.7736
Ac 0.0000 3.8365 7.6759
Ac 2.7609 5.6872 1.8654
Pm 2.7609 1.9648 9.5781
Ac 0.0000 7.5964 3.8925
Pm 2.7609 1.8717 1.9023
Ac 0.0000 0.0000 0.0000
Sm 0.0000 0.0000 7.6759
Ac 2.7609 1.9857 13.4863
Ac 0.0000 3.9130 11.5684
Ac 0.0000 3.7600 3.7833
```

Results
DFT formation energy	0.03	eV/atom